CaMgPb2 | GGA-PBE | optimized geometry

Calculated values
E_tot = -3.020 eV/atom
Theoretical density = 7.00 Mg/m³
Formation energy from the elements = -0.27 eV per atom

The structure in POSCAR format:
```
CaMgPb2
1.0
6.204 0.004 0.000
2.721 5.575 0.000
-4.463 -2.790 3.285
Pb Ca Mg
2 1 1
Cartesian
0.000 0.000 0.000 Pb
1.361 2.788 1.643 Pb
4.463 2.790 0.000 Ca
3.102 0.002 1.643 Mg
```



LiPm2GeAu6 | GGA-PBE | optimized geometry

Calculated values
E_tot = -4.049 eV/atom
Theoretical density = 11.83 Mg/m³
Formation energy from the elements = -0.48 eV per atom

The structure in POSCAR format:
```
LiPm2GeAu6
1.0
-0.008 -6.187 -1.010
6.357 -0.371 3.157
2.695 -1.972 6.578
Li Pm Ge Au
1 2 1 6
Cartesian
3.174 -3.279 1.073 Li
6.406 -2.538 5.354 Pm
2.638 -5.993 3.370 Pm
0.000 0.000 0.000 Ge
4.192 -1.040 1.975 Au
5.104 -4.190 2.892 Au
2.698 -2.832 3.597 Au
4.852 -7.490 6.749 Au
3.940 -4.341 5.832 Au
6.346 -5.699 5.127 Au
```



RbLaSn2S | GGA-PBE | optimized geometry

Calculated values
E_tot = -3.667 eV/atom
Theoretical density = 4.75 Mg/m³
E_form (uncorrected) = -0.061 eV/atom

The structure in POSCAR format:
```
RbLaSn2S
1.0
-2.444 -2.051 4.482
-3.247 -3.334 -3.297
3.805 -3.964 0.261
S Sn Rb La
1 2 1 1
Cartesian
0.000 0.000 0.000 S
1.903 -1.982 0.131 Sn
-1.222 -1.025 2.241 Sn
-1.624 -1.667 -1.648 Rb
-0.943 -4.675 0.723 La
```